# PBE Nd2TmAu2, optimized geometry
# distance to the lowest polymorph of the same formula = 0.0 meV per atom
# DFT formation energy = -651 meV per atom
# spin magnetization = 0.000 μB per cell
data_Nd2TmAu2
_chemical_formula_sum 'Nd4 Tm2 Au4'
_cell_length_a 8.286
_cell_length_b 8.286
_cell_length_c 3.927
_cell_angle_alpha 90.00
_cell_angle_beta 90.00
_cell_angle_gamma 90.00
_symmetry_space_group_name_H-M 'P 4/m b m'
_symmetry_Int_Tables_number 127
_symmetry_space_group_name_Hall '-P 4 2ab'
loop_
_atom_site_label
_atom_site_type_symbol
_atom_site_fract_x
_atom_site_fract_y
_atom_site_fract_z
_atom_site_occupancy
Nd1 Nd 0.167 0.333 0.000 1
Tm1 Tm 0.000 0.000 0.500 1
Au1 Au 0.131 0.631 0.500 1